This record from Alexandria via LeMat-Bulk describes a relaxed structure of TaNiPb2. The functional is PBE-GGA.

Output
VASP energy = -22.65 eV/cell
Space-group type = P4/mmm

Cell and atoms, written as POSCAR:
```
TaNiPb2
1.0
-0.035 -0.612 -3.085
0.431 -3.057 0.601
-8.174 -1.092 0.310
Pb Ta Ni
2 1 1
Cartesian
-7.947 -1.062 0.301
-4.314 -0.576 0.164
-1.846 -2.107 -1.164
-5.933 -2.653 -1.009
```

---

This record from Alexandria via LeMat-Bulk describes a relaxed structure of Ag2SnSb. The functional is PBE-GGA.

Output
Space-group type = I-42d
Uncorrected formation energy = 210 meV/atom

Cell and atoms, written as POSCAR:
```
Ag2SnSb
1.0
-2.266 5.893 -4.800
-5.303 -4.814 -3.407
-5.883 1.402 -2.054
Ag Sb Sn
4 2 2
Cartesian
-11.058 1.974 -8.736
-3.560 3.458 -3.961
-7.227 1.477 -4.603
-5.058 -1.948 -3.221
-5.966 3.917 -5.479
0.000 0.000 0.000
-7.485 -1.436 -4.782
-3.784 0.540 -4.103
```

---

This record from Alexandria via LeMat-Bulk describes a relaxed structure of Co3AgSb. The functional is PBE-GGA.

Output
Space-group type = Pm-3m
Uncorrected formation energy = 1197 meV/atom

Cell and atoms, written as POSCAR:
```
Co3AgSb
1.0
-0.378 4.278 -1.829
-2.430 -1.747 -3.582
-3.968 0.662 2.368
Co Ag Sb
3 1 1
Cartesian
-1.215 -0.873 -1.791
-0.189 2.139 -0.915
-1.984 0.331 1.184
-3.388 1.596 -1.522
0.000 0.000 0.000
```

---

no.,size of the total moment (μB per formula unit)
1,0.00
2,0.01
3,4.67